1.
The following is a GGA-PBE calculation of a geometry-optimized NaCa4Ho3Se8 structure, from Alexandria.

abc: 8.292 8.292 8.292
angles: 59.89 59.89 59.89
Positions (direct):
Na1 0.000 0.000 0.000
Ca1 0.000 0.000 0.500
Ca2 0.000 0.500 0.000
Ca3 0.500 0.000 0.000
Ca4 0.500 0.500 0.500
Ho1 0.000 0.500 0.500
Ho2 0.500 0.000 0.500
Ho3 0.500 0.500 0.000
Se1 0.251 0.251 0.742
Se2 0.251 0.742 0.251
Se3 0.252 0.252 0.252
Se4 0.258 0.749 0.749
Se5 0.742 0.251 0.251
Se6 0.748 0.748 0.748
Se7 0.749 0.258 0.749
Se8 0.749 0.749 0.258

Summary:
**Size of the total moment**: 0.0 μB per formula unit
**Raw formation energy**: -1.86 eV/atom

---

2.
The following is a GGA-PBE calculation of a geometry-optimized NaCa2HoSe4 structure, from Alexandria.

abc: 7.181 4.185 7.243
angles: 90.00 108.59 90.00
Positions (direct):
Na1 0.000 0.000 0.000
Ca1 0.500 0.000 0.500
Ca2 0.500 0.500 0.000
Ho1 0.000 0.500 0.500
Se1 0.241 0.000 0.740
Se2 0.249 0.500 0.261
Se3 0.751 0.500 0.739
Se4 0.759 0.000 0.260

Summary:
**Size of the total moment**: 0.0 μB per formula unit
**Raw formation energy**: -1.83 eV/atom

---

3.
The following is a GGA-PBE calculation of a geometry-optimized NaCaHo2Se4 structure, from Alexandria.

abc: 7.095 4.099 7.270
angles: 90.00 108.89 90.00
Positions (direct):
Na1 0.000 0.000 0.000
Ca1 0.500 0.500 0.000
Ho1 0.000 0.500 0.500
Ho2 0.500 0.000 0.500
Se1 0.247 0.000 0.741
Se2 0.255 0.500 0.263
Se3 0.745 0.500 0.737
Se4 0.753 0.000 0.259

Summary:
**Size of the total moment**: 0.0 μB per formula unit
**Raw formation energy**: -1.79 eV/atom

---

Repeat the first record exactly.
The following is a GGA-PBE calculation of a geometry-optimized NaCa4Ho3Se8 structure, from Alexandria.

abc: 8.292 8.292 8.292
angles: 59.89 59.89 59.89
Positions (direct):
Na1 0.000 0.000 0.000
Ca1 0.000 0.000 0.500
Ca2 0.000 0.500 0.000
Ca3 0.500 0.000 0.000
Ca4 0.500 0.500 0.500
Ho1 0.000 0.500 0.500
Ho2 0.500 0.000 0.500
Ho3 0.500 0.500 0.000
Se1 0.251 0.251 0.742
Se2 0.251 0.742 0.251
Se3 0.252 0.252 0.252
Se4 0.258 0.749 0.749
Se5 0.742 0.251 0.251
Se6 0.748 0.748 0.748
Se7 0.749 0.258 0.749
Se8 0.749 0.749 0.258

Summary:
**Size of the total moment**: 0.0 μB per formula unit
**Raw formation energy**: -1.86 eV/atom

---

Question: What is the formula in the second record?
Answer: NaCa2HoSe4

---

Question: Among the records above, which one has the highest raw formation energy?
Answer: NaCaHo2Se4